No. 1
! LiSnSb2I (PBE, relaxed); values from VASP
! * ΔE_f (raw): 115.3 kJ/mol of formula units
! * V: 144 Å³/cell
! * energy relative to the lowest polymorph listed for this composition: 0.0 meV/atom
! * D(E_F): 0.63 states/eV per atom
&SYSTEM
  ibrav = 0, nat = 5, ntyp = 4
/
ATOMIC_SPECIES
Sn 118.71 Sn.upf
I 126.90 I.upf
Sb 121.76 Sb.upf
Li 6.94 Li.upf
ATOMIC_POSITIONS crystal
Sn 0.500 0.500 0.500
I 0.000 0.000 0.500
Sb 0.500 0.000 0.000
Li 0.000 0.000 0.000
Sb 0.000 0.500 0.000
CELL_PARAMETERS angstrom
-2.531 2.768 -3.363
-3.531 0.973 3.459
2.868 4.605 1.632

---

No. 2
! LiSnSb2I (PBE, relaxed); values from VASP
! * ΔE_f (raw): 169.2 kJ/mol of formula units
! * V: 207 Å³/cell
! * energy relative to the lowest polymorph listed for this composition: 111.8 meV/atom
! * D(E_F): 0.93 states/eV per atom
&SYSTEM
  ibrav = 0, nat = 5, ntyp = 4
/
ATOMIC_SPECIES
Li 6.94 Li.upf
Sn 118.71 Sn.upf
Sb 121.76 Sb.upf
I 126.90 I.upf
ATOMIC_POSITIONS crystal
Li 0.500 0.500 0.500
Sn 0.000 0.000 0.000
Sb 0.500 0.000 0.000
I 0.000 0.000 0.500
Sb 0.000 0.500 0.000
CELL_PARAMETERS angstrom
5.700 0.000 0.000
0.000 5.700 0.000
0.000 0.000 6.371

---

No. 3
! SrLiSbI2 (PBE, relaxed); values from VASP
! * ΔE_f (raw): -306.4 kJ/mol of formula units
! * V: 164 Å³/cell
! * energy relative to the lowest polymorph listed for this composition: 0.0 meV/atom
! * D(E_F): 0.94 states/eV per atom
&SYSTEM
  ibrav = 0, nat = 5, ntyp = 4
/
ATOMIC_SPECIES
Li 6.94 Li.upf
I 126.90 I.upf
Sb 121.76 Sb.upf
Sr 87.62 Sr.upf
ATOMIC_POSITIONS crystal
Li 0.000 0.000 0.000
I 0.000 0.500 0.000
Sb 0.000 0.000 0.500
I 0.500 0.000 0.000
Sr 0.500 0.500 0.500
CELL_PARAMETERS angstrom
5.474 0.000 0.000
0.000 5.474 0.000
0.000 0.000 5.489

---

No. 4
! SrLiSb2I (PBE, relaxed); values from VASP
! * ΔE_f (raw): 62.8 kJ/mol of formula units
! * V: 251 Å³/cell
! * energy relative to the lowest polymorph listed for this composition: 531.6 meV/atom
! * D(E_F): 0.65 states/eV per atom
&SYSTEM
  ibrav = 0, nat = 5, ntyp = 4
/
ATOMIC_SPECIES
Sb 121.76 Sb.upf
Sr 87.62 Sr.upf
I 126.90 I.upf
Li 6.94 Li.upf
ATOMIC_POSITIONS crystal
Sb 0.500 0.000 0.000
Sr 0.000 0.000 0.000
I 0.000 0.000 0.500
Sb 0.000 0.500 0.000
Li 0.500 0.500 0.500
CELL_PARAMETERS angstrom
-5.844 -1.126 -2.008
-1.270 -2.993 5.374
-1.944 5.472 2.588

---

No. 5
! SrLiSb2I (PBE, relaxed); values from VASP
! * ΔE_f (raw): -193.6 kJ/mol of formula units
! * V: 159 Å³/cell
! * energy relative to the lowest polymorph listed for this composition: 0.0 meV/atom
! * D(E_F): 0.99 states/eV per atom
&SYSTEM
  ibrav = 0, nat = 5, ntyp = 4
/
ATOMIC_SPECIES
Li 6.94 Li.upf
Sb 121.76 Sb.upf
Sr 87.62 Sr.upf
I 126.90 I.upf
ATOMIC_POSITIONS crystal
Li 0.000 0.000 0.000
Sb 0.000 0.500 0.000
Sr 0.500 0.500 0.500
I 0.000 0.000 0.500
Sb 0.500 0.000 0.000
CELL_PARAMETERS angstrom
-0.716 4.738 1.373
-4.902 -0.529 -0.730
-0.705 -1.873 6.095

---

No. 6
! SrLiSbI2 (PBE, relaxed); values from VASP
! * ΔE_f (raw): -219.0 kJ/mol of formula units
! * V: 270 Å³/cell
! * energy relative to the lowest polymorph listed for this composition: 181.2 meV/atom
! * D(E_F): 0.37 states/eV per atom
&SYSTEM
  ibrav = 0, nat = 5, ntyp = 4
/
ATOMIC_SPECIES
I 126.90 I.upf
Sr 87.62 Sr.upf
Sb 121.76 Sb.upf
Li 6.94 Li.upf
ATOMIC_POSITIONS crystal
I 0.500 0.000 0.000
I 0.000 0.500 0.000
Sr 0.000 0.000 0.000
Sb 0.000 0.000 0.500
Li 0.500 0.500 0.500
CELL_PARAMETERS angstrom
-0.394 6.037 2.098
-6.231 -0.831 1.220
1.464 -2.024 6.097